# 1
The following is a DFT calculation (PBE) of a relaxed structure of BiTe2Se2.

ρ in g/cm3: 7.04
Uncorrected energy in eV/atom: -3.265
Energy relative to the lowest polymorph listed for this composition in eV/atom: 0.000

abc: 9.1775 9.1775 3.4839
angles: 90.00 90.00 90.00
Space group P4/mbm (No. 127)
Unique sites:
Bi  0.0000  0.0000  0.0000 [2 per cell]
Te  0.2310  0.2690  0.0000 [4 per cell]
Se  0.1067  0.6067  0.5000 [4 per cell]


# 2
The following is a DFT calculation (PBE) of a relaxed structure of Bi3TeSe3.

ρ in g/cm3: 6.98
Uncorrected energy in eV/atom: -3.865
Energy relative to the lowest polymorph listed for this composition in eV/atom: 0.000

abc: 9.2510 4.1984 12.1522
angles: 90.00 90.75 90.00
Space group P2_1/m (No. 11)
Unique sites:
Bi  0.1166  0.2500  0.1377 [2 per cell]
Bi  0.3517  0.7500  0.3857 [2 per cell]
Bi  0.3516  0.7500  0.8534 [2 per cell]
Te  0.3803  0.7500  0.1219 [2 per cell]
Se  0.1221  0.2500  0.8749 [2 per cell]
Se  0.1348  0.2500  0.3690 [2 per cell]
Se  0.4115  0.7500  0.6241 [2 per cell]


# 3
The following is a DFT calculation (PBE) of a relaxed structure of Bi3TeSe3.

ρ in g/cm3: 5.74
Uncorrected energy in eV/atom: -3.731
Energy relative to the lowest polymorph listed for this composition in eV/atom: 0.134

abc: 10.3149 6.2195 10.3158
angles: 90.00 119.89 90.00
Space group P2_1/m (No. 11)
Unique sites:
Bi  0.1606  0.2500  0.3379 [2 per cell]
Bi  0.1622  0.2500  0.8231 [2 per cell]
Bi  0.3231  0.7500  0.6607 [2 per cell]
Te  0.3332  0.2500  0.1668 [2 per cell]
Se  0.1552  0.7500  0.3425 [2 per cell]
Se  0.1579  0.7500  0.8134 [2 per cell]
Se  0.3134  0.2500  0.6556 [2 per cell]


# 4
The following is a DFT calculation (PBE) of a relaxed structure of BiTeSe.

ρ in g/cm3: 6.79
Uncorrected energy in eV/atom: -3.592
Energy relative to the lowest polymorph listed for this composition in eV/atom: 0.147

abc: 6.6853 6.6853 23.6407
angles: 90.00 90.00 120.00
Space group R3 (No. 146, hexagonal axes)
Unique sites:
Bi  0.0000  0.0000  0.0000 [3 per cell]
Bi  0.0000  0.0000  0.1581 [3 per cell]
Bi  0.0000  0.0000  0.4682 [3 per cell]
Te  0.1084  0.3413  0.2652 [9 per cell]
Se  0.0183  0.6417  0.4138 [9 per cell]